Entry 1:
Zn3Si after structural relaxation, computed with PBE.

Calculated values
- Raw formation energy: 0.157 eV per atom
- Volume: 124.00 Å³/cell

a = 9.7404 Å, b = 2.5692 Å, c = 5.1123 Å
α = 90.00°, β = 104.26°, γ = 90.00°
Space group C2/m (No. 12)
Asymmetric unit:
Zn: 0.0000 0.0000 0.0000 x2
Zn: 0.2453 0.5000 0.2478 x4
Si: 0.0000 0.5000 0.5000 x2

Entry 2:
Zn2Si after structural relaxation, computed with PBE.

Calculated values
- Raw formation energy: 0.266 eV per atom
- Volume: 201.92 Å³/cell

a = 2.5623 Å, b = 3.6692 Å, c = 21.4770 Å
α = 90.00°, β = 90.00°, γ = 90.00°
Space group Imma (No. 74)
Asymmetric unit:
Zn: 0.0000 0.2500 0.0482 x4
Zn: 0.0000 0.2500 0.1965 x4
Si: 0.0000 0.2500 0.6247 x4

Entry 3:
ZnSi3 after structural relaxation, computed with PBE.

Calculated values
- Raw formation energy: 0.546 eV per atom
- Volume: 123.56 Å³/cell

a = 4.9807 Å, b = 4.9807 Å, c = 4.9807 Å
α = 90.00°, β = 90.00°, γ = 90.00°
Space group Pm-3n (No. 223)
Asymmetric unit:
Zn: 0.0000 0.0000 0.0000 x2
Si: 0.0000 0.2500 0.5000 x6

Entry 4:
Zn2Si after structural relaxation, computed with PBE.

Calculated values
- Raw formation energy: 0.263 eV per atom
- Volume: 196.91 Å³/cell

a = 6.2101 Å, b = 6.2101 Å, c = 5.1058 Å
α = 90.00°, β = 90.00°, γ = 90.00°
Space group I4/mcm (No. 140)
Asymmetric unit:
Zn: 0.1471 0.3529 0.0000 x8
Si: 0.0000 0.0000 0.2500 x4

Entry 5:
Zn3Si after structural relaxation, computed with PBE.

Calculated values
- Raw formation energy: 0.178 eV per atom
- Volume: 245.14 Å³/cell

a = 3.8875 Å, b = 3.8875 Å, c = 16.2211 Å
α = 90.00°, β = 90.00°, γ = 90.00°
Space group I4/mmm (No. 139)
Asymmetric unit:
Zn: 0.0000 0.0000 0.1265 x4
Zn: 0.0000 0.5000 0.0000 x4
Zn: 0.0000 0.5000 0.2500 x4
Si: 0.0000 0.0000 0.3781 x4

Entry 6:
ZnSi2 after structural relaxation, computed with PBE.

Calculated values
- Raw formation energy: 0.359 eV per atom
- Volume: 180.94 Å³/cell

a = 2.5675 Å, b = 4.7712 Å, c = 14.7703 Å
α = 90.00°, β = 90.00°, γ = 90.00°
Space group Fmmm (No. 69)
Asymmetric unit:
Zn: 0.0000 0.0000 0.0000 x4
Si: 0.0000 0.0000 0.3344 x8

Entry 7:
Zn2Si after structural relaxation, computed with PBE.

Calculated values
- Raw formation energy: 0.264 eV per atom
- Volume: 100.50 Å³/cell

a = 3.6877 Å, b = 7.0971 Å, c = 3.8401 Å
α = 90.00°, β = 90.00°, γ = 90.00°
Space group Pnnm (No. 58)
Asymmetric unit:
Zn: 0.1290 0.1604 0.0000 x4
Si: 0.0000 0.5000 0.0000 x2

Entry 8:
Zn5Si4 after structural relaxation, computed with PBE.

Calculated values
- Raw formation energy: 0.305 eV per atom
- Volume: 276.34 Å³/cell

a = 8.5813 Å, b = 8.5813 Å, c = 3.7527 Å
α = 90.00°, β = 90.00°, γ = 90.00°
Space group I4/mmm (No. 139)
Asymmetric unit:
Zn: 0.0000 0.0000 0.0000 x2
Zn: 0.1645 0.1645 0.5000 x8
Si: 0.0000 0.3372 0.0000 x8

Entry 9:
ZnSi3 after structural relaxation, computed with PBE.

Calculated values
- Raw formation energy: 0.436 eV per atom
- Volume: 60.35 Å³/cell

a = 2.7456 Å, b = 4.2366 Å, c = 5.1881 Å
α = 90.00°, β = 90.00°, γ = 90.00°
Space group Pmmm (No. 47)
Asymmetric unit:
Zn: 0.0000 0.0000 0.0000 x1
Si: 0.0000 0.0000 0.5000 x1
Si: 0.5000 0.5000 0.2555 x2

Entry 10:
ZnSi2 after structural relaxation, computed with PBE.

Calculated values
- Raw formation energy: 0.301 eV per atom
- Volume: 187.87 Å³/cell

a = 11.0187 Å, b = 2.6853 Å, c = 7.0524 Å
α = 90.00°, β = 115.80°, γ = 90.00°
Space group C2/m (No. 12)
Asymmetric unit:
Zn: 0.1734 0.0000 0.3285 x4
Si: 0.0000 0.0000 0.5000 x2
Si: 0.0000 0.5000 0.0000 x2
Si: 0.1561 0.5000 0.8405 x4

Entry 11:
ZnSi2 after structural relaxation, computed with PBE.

Calculated values
- Raw formation energy: 0.411 eV per atom
- Volume: 143.95 Å³/cell

a = 3.1286 Å, b = 3.1286 Å, c = 16.9813 Å
α = 90.00°, β = 90.00°, γ = 120.00°
Space group R-3m (No. 166, hexagonal axes)
Asymmetric unit:
Zn: 0.0000 0.0000 0.0000 x3
Si: 0.0000 0.0000 0.2187 x6

Entry 12:
ZnSi after structural relaxation, computed with PBE.

Calculated values
- Raw formation energy: 0.253 eV per atom
- Volume: 67.54 Å³/cell

a = 2.7175 Å, b = 4.7237 Å, c = 5.9438 Å
α = 68.84°, β = 76.90°, γ = 73.44°
Space group P-1 (No. 2)
Asymmetric unit:
Zn: 0.1496 0.3933 0.3082 x2
Si: 0.0931 0.0257 0.7901 x2